RbGaBi2: relaxed, PBE-GGA.

Geometry as POSCAR:
```
RbGaBi2
1.0
-2.827 -2.898 0.688
2.300 -3.730 -5.710
7.273 -2.442 6.909
Ga Bi Rb
2 4 2
Direct
0.436 0.330 0.454 Ga
0.225 0.229 0.017 Ga
0.338 0.539 0.238 Bi
0.322 0.020 0.233 Bi
0.623 0.162 0.818 Bi
0.038 0.398 0.653 Bi
0.682 0.701 0.950 Rb
0.978 0.858 0.521 Rb
```

Results
Calculated total energy   -24.51 eV for the cell shown
DOS at the Fermi energy   3.3 states/eV per cell
Formation energy from the elements   -125 meV/atom